1.
Mg2TlAg2: PBEsol geometry, meta-GGA SCAN.

Computed properties:
Space-group type: P4/mbm
Calculated total energy in eV per atom: -29.14

a = 7.620 Å, b = 7.620 Å, c = 3.437 Å
α = 90.00°, β = 90.00°, γ = 90.00°
Atoms (fractional coordinates):
Mg  0.162  0.338  0.000
Mg  0.338  0.838  0.000
Mg  0.662  0.162  0.000
Mg  0.838  0.662  0.000
Tl  0.000  0.000  0.500
Tl  0.500  0.500  0.500
Ag  0.132  0.632  0.500
Ag  0.368  0.132  0.500
Ag  0.632  0.868  0.500
Ag  0.868  0.368  0.500

---

2.
K3CaPCO7: PBEsol geometry, meta-GGA SCAN.

Computed properties:
Space-group type: P2_1/m
Energy relative to the elements, uncorrected in meV/atom: -2472
Calculated total energy in eV per atom: -10.07

a = 5.659 Å, b = 7.187 Å, c = 9.762 Å
α = 90.00°, β = 90.83°, γ = 90.00°
Atoms (fractional coordinates):
K  0.242  0.250  0.422
K  0.257  0.507  0.764
K  0.257  0.993  0.764
K  0.743  0.007  0.236
K  0.743  0.493  0.236
K  0.758  0.750  0.578
Ca  0.224  0.750  0.135
Ca  0.776  0.250  0.865
P  0.289  0.250  0.087
P  0.711  0.750  0.913
C  0.253  0.750  0.424
C  0.747  0.250  0.576
O  0.050  0.750  0.360
O  0.148  0.250  0.949
O  0.230  0.074  0.173
O  0.230  0.426  0.173
O  0.264  0.750  0.556
O  0.442  0.750  0.944
O  0.446  0.750  0.352
O  0.554  0.250  0.648
O  0.558  0.250  0.056
O  0.736  0.250  0.444
O  0.770  0.574  0.827
O  0.770  0.926  0.827
O  0.852  0.750  0.051
O  0.950  0.250  0.640

---

3.
KTl2Cl: PBEsol geometry, meta-GGA SCAN.

Computed properties:
Energy above the lowest structure with this stoichiometry in meV per atom: 0
Space-group type: P4mm
Energy relative to the elements, uncorrected in meV/atom: -823
Calculated total energy in eV per atom: -41.08

a = 4.131 Å, b = 4.131 Å, c = 7.935 Å
α = 90.00°, β = 90.00°, γ = 90.00°
Atoms (fractional coordinates):
K  0.000  0.000  0.000
Tl  0.000  0.000  0.528
Tl  0.500  0.500  0.358
Cl  0.500  0.500  0.975

---

4.
MgTcAu: PBEsol geometry, meta-GGA SCAN.

Computed properties:
Space-group type: P3m1
Calculated total energy in eV per atom: -36.29

a = 2.813 Å, b = 2.813 Å, c = 6.955 Å
α = 90.00°, β = 90.00°, γ = 120.00°
Atoms (fractional coordinates):
Mg  0.000  0.000  0.000
Tc  0.667  0.333  0.671
Au  0.333  0.667  0.336

---

Copy entry 4 word for word.
MgTcAu: PBEsol geometry, meta-GGA SCAN.

Computed properties:
Space-group type: P3m1
Calculated total energy in eV per atom: -36.29

a = 2.813 Å, b = 2.813 Å, c = 6.955 Å
α = 90.00°, β = 90.00°, γ = 120.00°
Atoms (fractional coordinates):
Mg  0.000  0.000  0.000
Tc  0.667  0.333  0.671
Au  0.333  0.667  0.336